Record 1
# K3InAg4 | Alexandria | PBE | optimized geometry
data_K3InAg4
_chemical_formula_sum 'K12 In4 Ag16'
_cell_length_a 4.889
_cell_length_b 9.354
_cell_length_c 23.172
_cell_angle_alpha 94.57
_cell_angle_beta 90.01
_cell_angle_gamma 105.13
_symmetry_space_group_name_H-M 'P -1'
_symmetry_Int_Tables_number 2
loop_
_symmetry_equiv_pos_as_xyz
'x,y,z'
'-x,-y,-z'
loop_
_atom_site_label
_atom_site_fract_x
_atom_site_fract_y
_atom_site_fract_z
K1 0.076 0.152 0.188
K2 0.090 0.180 0.977
K3 0.114 0.227 0.381
K4 0.213 0.427 0.570
K5 0.299 0.597 0.277
K6 0.395 0.790 0.147
In1 0.276 0.553 0.843
In2 0.496 0.989 0.715
Ag1 0.039 0.078 0.552
Ag2 0.060 0.118 0.678
Ag3 0.220 0.440 0.090
Ag4 0.273 0.546 0.973
Ag5 0.338 0.678 0.730
Ag6 0.416 0.832 0.919
Ag7 0.425 0.851 0.513
Ag8 0.442 0.883 0.392
# total magnetization	0.00	Bohr magnetons per cell
# final energy	-2.15	eV/atom

Record 2
# GdErP | Alexandria | PBE | optimized geometry
data_GdErP
_chemical_formula_sum 'Gd1 Er1 P1'
_cell_length_a 3.8741
_cell_length_b 3.8741
_cell_length_c 6.3990
_cell_angle_alpha 90.00
_cell_angle_beta 90.00
_cell_angle_gamma 120.00
_symmetry_space_group_name_H-M 'P 3 m 1'
_symmetry_Int_Tables_number 156
loop_
_symmetry_equiv_pos_as_xyz
'x,y,z'
'-y,x-y,z'
'-x+y,-x,z'
'-y,-x,z'
'-x+y,y,z'
'x,x-y,z'
loop_
_atom_site_label
_atom_site_fract_x
_atom_site_fract_y
_atom_site_fract_z
Gd1 0.0000 0.0000 0.0000
Er1 0.3333 0.6667 0.5048
P1 0.6667 0.3333 0.2581
# total magnetization	8.01	Bohr magnetons per cell
# final energy	-8.99	eV/atom

Record 3
# Mg2TlIn | Alexandria | PBE | optimized geometry
data_Mg2TlIn
_chemical_formula_sum 'Mg2 Tl1 In1'
_cell_length_a 3.332
_cell_length_b 3.332
_cell_length_c 8.703
_cell_angle_alpha 90.00
_cell_angle_beta 90.00
_cell_angle_gamma 90.00
_symmetry_space_group_name_H-M 'P 4/m m m'
_symmetry_Int_Tables_number 123
_symmetry_space_group_name_Hall '-P 4 2'
loop_
_atom_site_label
_atom_site_fract_x
_atom_site_fract_y
_atom_site_fract_z
Mg1 0.000 0.000 0.246
Tl1 0.500 0.500 0.500
In1 0.500 0.500 0.000
# total magnetization	0.00	Bohr magnetons per cell
# final energy	-2.13	eV/atom

Record 4
# Tb4Sm5Ho2 | Alexandria | PBE | optimized geometry
data_Tb4Sm5Ho2
_chemical_formula_sum 'Tb8 Sm10 Ho4'
_cell_length_a 3.514
_cell_length_b 9.138
_cell_length_c 23.380
_cell_angle_alpha 90.00
_cell_angle_beta 90.00
_cell_angle_gamma 90.00
_symmetry_space_group_name_H-M 'I m m m'
_symmetry_Int_Tables_number 71
_symmetry_space_group_name_Hall '-I 2 2'
loop_
_atom_site_label
_atom_site_fract_x
_atom_site_fract_y
_atom_site_fract_z
Tb1 0.000 0.000 0.097
Tb2 0.000 0.308 0.500
Sm1 0.000 0.201 0.353
Sm2 0.000 0.500 0.000
Ho1 0.000 0.000 0.231
# total magnetization	0.00	Bohr magnetons per cell
# energy relative to the lowest polymorph listed for this composition	69.6	meV per atom
# final energy	-4.44	eV/atom

Record 5
# InWSe | Alexandria | PBE | optimized geometry
data_InWSe
_chemical_formula_sum 'In4 W4 Se4'
_cell_length_a 3.218
_cell_length_b 4.949
_cell_length_c 16.615
_cell_angle_alpha 90.00
_cell_angle_beta 90.00
_cell_angle_gamma 90.00
_symmetry_space_group_name_H-M 'F m m 2'
_symmetry_Int_Tables_number 42
_symmetry_space_group_name_Hall 'F 2 -2'
loop_
_atom_site_label
_atom_site_fract_x
_atom_site_fract_y
_atom_site_fract_z
In1 0.000 0.000 0.000
W1 0.000 0.000 0.656
Se1 0.000 0.000 0.274
# total magnetization	0.00	Bohr magnetons per cell
# energy relative to the lowest polymorph listed for this composition	310.7	meV per atom
# raw formation energy	466	meV per atom
# final energy	-5.93	eV/atom

Record 6
# Nd5Gd | Alexandria | PBE | optimized geometry
data_Nd5Gd
_chemical_formula_sum 'Nd10 Gd2'
_cell_length_a 5.182
_cell_length_b 15.564
_cell_length_c 5.191
_cell_angle_alpha 90.00
_cell_angle_beta 90.00
_cell_angle_gamma 90.00
_symmetry_space_group_name_H-M 'C m m m'
_symmetry_Int_Tables_number 65
_symmetry_space_group_name_Hall '-C 2 2'
loop_
_atom_site_label
_atom_site_fract_x
_atom_site_fract_y
_atom_site_fract_z
Nd1 0.000 0.000 0.000
Nd2 0.000 0.166 0.500
Nd3 0.000 0.334 0.000
Gd1 0.000 0.500 0.500
# total magnetization	14.70	Bohr magnetons per cell
# final energy	-6.31	eV/atom

Record 7
# RbCa2HgMo | Alexandria | PBE | optimized geometry
data_RbCa2HgMo
_chemical_formula_sum 'Rb1 Ca2 Hg1 Mo1'
_cell_length_a 6.117
_cell_length_b 6.117
_cell_length_c 5.699
_cell_angle_alpha 90.00
_cell_angle_beta 90.00
_cell_angle_gamma 90.00
_symmetry_space_group_name_H-M 'P 4/m m m'
_symmetry_Int_Tables_number 123
_symmetry_space_group_name_Hall '-P 4 2'
loop_
_atom_site_label
_atom_site_fract_x
_atom_site_fract_y
_atom_site_fract_z
Rb1 0.000 0.000 0.000
Ca1 0.000 0.500 0.000
Hg1 0.000 0.000 0.500
Mo1 0.500 0.500 0.500
# total magnetization	3.63	Bohr magnetons per cell
# final energy	-1.57	eV/atom

Record 8
# Be2TcRu5W2 | Alexandria | PBE | optimized geometry
data_Be2TcRu5W2
_chemical_formula_sum 'Be4 Tc2 Ru10 W4'
_cell_length_a 9.458
_cell_length_b 9.458
_cell_length_c 2.960
_cell_angle_alpha 90.00
_cell_angle_beta 90.00
_cell_angle_gamma 90.00
_symmetry_space_group_name_H-M 'P 4/m b m'
_symmetry_Int_Tables_number 127
_symmetry_space_group_name_Hall '-P 4 2ab'
loop_
_atom_site_label
_atom_site_fract_x
_atom_site_fract_y
_atom_site_fract_z
Be1 0.121 0.379 0.000
Tc1 0.000 0.000 0.000
Ru1 0.000 0.500 0.500
Ru2 0.074 0.212 0.500
W1 0.176 0.676 0.000
# total magnetization	1.06	Bohr magnetons per cell
# final energy	-9.02	eV/atom

Record 9
# CdI2O | Alexandria | PBE | optimized geometry
data_CdI2O
_chemical_formula_sum 'Cd4 I8 O4'
_cell_length_a 7.264
_cell_length_b 7.264
_cell_length_c 7.264
_cell_angle_alpha 90.00
_cell_angle_beta 90.00
_cell_angle_gamma 90.00
_symmetry_space_group_name_H-M 'F m -3 m'
_symmetry_Int_Tables_number 225
_symmetry_space_group_name_Hall '-F 4 2 3'
loop_
_atom_site_label
_atom_site_fract_x
_atom_site_fract_y
_atom_site_fract_z
Cd1 0.000 0.000 0.000
I1 0.250 0.250 0.250
O1 0.000 0.000 0.500
# total magnetization	0.00	Bohr magnetons per cell
# energy relative to the lowest polymorph listed for this composition	327.6	meV per atom
# raw formation energy	544	meV per atom
# final energy	-1.70	eV/atom

Record 10
# CaSc4Si4O14 | Alexandria | PBE | optimized geometry
data_CaSc4Si4O14
_chemical_formula_sum 'Ca2 Sc8 Si8 O28'
_cell_length_a 6.640
_cell_length_b 7.433
_cell_length_c 10.147
_cell_angle_alpha 90.00
_cell_angle_beta 90.00
_cell_angle_gamma 90.00
_symmetry_space_group_name_H-M 'I m m 2'
_symmetry_Int_Tables_number 44
loop_
_symmetry_equiv_pos_as_xyz
'x,y,z'
'-x,-y,z'
'-x,y,z'
'x,-y,z'
'x+1/2,y+1/2,z+1/2'
'-x+1/2,-y+1/2,z+1/2'
'-x+1/2,y+1/2,z+1/2'
'x+1/2,-y+1/2,z+1/2'
loop_
_atom_site_label
_atom_site_fract_x
_atom_site_fract_y
_atom_site_fract_z
Ca1 0.000 0.000 0.000
Sc1 0.000 0.270 0.521
Sc2 0.243 0.000 0.317
Si1 0.000 0.314 0.065
Si2 0.244 0.500 0.281
O1 0.000 0.000 0.207
O2 0.000 0.000 0.459
O3 0.000 0.000 0.766
O4 0.000 0.500 0.345
O5 0.000 0.500 0.667
O6 0.000 0.500 0.967
O7 0.209 0.333 0.157
O8 0.239 0.209 0.906
# total magnetization	0.00	Bohr magnetons per cell
# energy relative to the lowest polymorph listed for this composition	188.7	meV per atom
# raw formation energy	-2612	meV per atom
# final energy	-7.76	eV/atom

Record 11
# LaSn4Pd6 | Alexandria | PBE | optimized geometry
data_LaSn4Pd6
_chemical_formula_sum 'La2 Sn8 Pd12'
_cell_length_a 6.998
_cell_length_b 6.998
_cell_length_c 9.703
_cell_angle_alpha 90.00
_cell_angle_beta 90.00
_cell_angle_gamma 90.00
_symmetry_space_group_name_H-M 'I -4 2 m'
_symmetry_Int_Tables_number 121
_symmetry_space_group_name_Hall 'I -4 2'
loop_
_atom_site_label
_atom_site_fract_x
_atom_site_fract_y
_atom_site_fract_z
La1 0.000 0.000 0.000
Sn1 0.205 0.205 0.674
Pd1 0.000 0.500 0.000
Pd2 0.159 0.159 0.400
# total magnetization	0.00	Bohr magnetons per cell
# energy relative to the lowest polymorph listed for this composition	135.2	meV per atom
# final energy	-5.26	eV/atom

Record 12
# TbNpBr6 | Alexandria | PBE | optimized geometry
data_TbNpBr6
_chemical_formula_sum 'Tb2 Np2 Br12'
_cell_length_a 7.144
_cell_length_b 13.155
_cell_length_c 7.064
_cell_angle_alpha 90.00
_cell_angle_beta 106.90
_cell_angle_gamma 90.00
_symmetry_space_group_name_H-M 'C 1 2/m 1'
_symmetry_Int_Tables_number 12
loop_
_symmetry_equiv_pos_as_xyz
'x,y,z'
'-x,-y,-z'
'-x,y,-z'
'x,-y,z'
'x+1/2,y+1/2,z'
'-x+1/2,-y+1/2,-z'
'-x+1/2,y+1/2,-z'
'x+1/2,-y+1/2,z'
loop_
_atom_site_label
_atom_site_fract_x
_atom_site_fract_y
_atom_site_fract_z
Tb1 0.000 0.000 0.000
Np1 0.000 0.500 0.500
Br1 0.242 0.147 0.246
Br2 0.248 0.000 0.754
# total magnetization	8.00	Bohr magnetons per cell
# raw formation energy	-1568	meV per atom
# final energy	-5.02	eV/atom